## Zn2TePt (GGA-PBE)

Data for a relaxed structure of Zn2TePt.

Summary:
- symmetry = P4mm (99)
- formation energy (no corrections) (eV per atom) = -0.06
- calculated volume (Å³ per cell) = 76.2

Cell lengths 3.590, 3.590, 5.909 Å; angles 90.00, 90.00, 90.00 degrees
Element x y z (fractional)
Zn 0.000 0.000 0.000
Zn 0.500 0.500 0.288
Te 0.500 0.500 0.777
Pt 0.000 0.000 0.421